Entry 1:
A plane-wave DFT calculation with GGA-PBE was carried out for a relaxed structure of Th2CoCl2.

Cell lengths 7.122, 3.903, 11.364 Å; angles 90.00, 104.75, 90.00 degrees
Atoms (fractional coordinates):
Th1 0.213 0.000 0.137
Th2 0.287 0.500 0.863
Th3 0.713 0.500 0.137
Th4 0.787 0.000 0.863
Co1 0.000 0.500 0.000
Co2 0.500 0.000 0.000
Cl1 0.046 0.000 0.688
Cl2 0.454 0.500 0.312
Cl3 0.546 0.500 0.688
Cl4 0.954 0.000 0.312

Formation energy without anion corrections in eV/f.u.: -6.2
Total magnetic moment in Bohr magnetons per cell: 0.00
Crystal system: monoclinic
Calculated total energy in eV/cell: -63.72



Entry 2:
A plane-wave DFT calculation with GGA-PBE was carried out for a relaxed structure of Th4CoCl5.

Cell lengths 3.749, 8.703, 8.977 Å; angles 80.65, 77.97, 89.94 degrees
Atoms (fractional coordinates):
Th1 0.002 0.213 0.496
Th2 0.331 0.946 0.839
Th3 0.669 0.054 0.161
Th4 0.998 0.787 0.504
Co1 0.500 0.000 0.500
Cl1 0.164 0.789 0.173
Cl2 0.165 0.314 0.167
Cl3 0.500 0.500 0.500
Cl4 0.835 0.686 0.833
Cl5 0.836 0.211 0.827

Formation energy without anion corrections in eV/f.u.: -14.1
Total magnetic moment in Bohr magnetons per cell: 0.00
Crystal system: triclinic
Calculated total energy in eV/cell: -60.08



Entry 3:
A plane-wave DFT calculation with GGA-PBE was carried out for a relaxed structure of TiCo3Cl.

Cell lengths 4.462, 4.462, 4.462 Å; angles 90.00, 90.00, 90.00 degrees
Atoms (fractional coordinates):
Ti1 0.000 0.000 0.000
Co1 0.000 0.000 0.500
Co2 0.000 0.500 0.000
Co3 0.500 0.000 0.000
Cl1 0.500 0.500 0.500

Formation energy without anion corrections in eV/f.u.: 6.4
Total magnetic moment in Bohr magnetons per cell: 2.81
Crystal system: cubic
Calculated total energy in eV/cell: -24.69
ΔE to the lowest computed polymorph in meV/atom: 618